# Er3Zr3FeBi2 PBE optimized geometry
data_Er3Zr3FeBi2
_chemical_formula_sum 'Er3 Zr3 Fe1 Bi2'
_cell_length_a 8.1206
_cell_length_b 8.1206
_cell_length_c 3.8024
_cell_angle_alpha 90.00
_cell_angle_beta 90.00
_cell_angle_gamma 120.00
_symmetry_space_group_name_H-M 'P -6 2 m'
_symmetry_Int_Tables_number 189
_symmetry_space_group_name_Hall 'P -6 -2'
loop_
_atom_site_label
_atom_site_fract_x
_atom_site_fract_y
_atom_site_fract_z
Er1 0.0000 0.2411 0.0000
Zr1 0.0000 0.6095 0.5000
Fe1 0.0000 0.0000 0.5000
Bi1 0.3333 0.6667 0.0000
# size of the total moment	1.0	Bohr magnetons per cell
# offset from the most stable computed form	1.49	eV/f.u.